Computed, not measured: a geometry-optimized CsSb2IF structure at the GGA-PBE level of DFT.

The structure in CIF format:
```
data_CsSb2IF
_chemical_formula_sum 'Cs1 Sb2 I1 F1'
_symmetry_space_group_name_H-M 'P 4/m m m'
_symmetry_Int_Tables_number 123
_symmetry_space_group_name_Hall '-P 4 2'
_cell_length_a 4.937
_cell_length_b 4.937
_cell_length_c 7.430
_cell_angle_alpha 90.00
_cell_angle_beta 90.00
_cell_angle_gamma 90.00
loop_
_atom_site_label
_atom_site_fract_x
_atom_site_fract_y
_atom_site_fract_z
_atom_site_occupancy
Cs1 0.000 0.000 0.000 1
Sb1 0.000 0.500 0.500 1
I1 0.500 0.500 0.000 1
F1 0.500 0.500 0.500 1
```

Results
The total magnetic moment comes out at 0.000 μB per atom. The uncorrected formation energy comes out at -492.8 meV/atom. The distance to the lowest polymorph of the same formula is 0 meV/atom.